Here is a crystal of CsRb3Tc relaxed with PBEsol from Alexandria via LeMat-Bulk. Energies are from meta-GGA SCAN.

Formation energy from the elements, kJ/mol of formula units: 728

Cell lengths 7.8200, 7.8200, 7.8200 Å; angles 90.00, 90.00, 90.00 degrees
Last column: nearest neighbours and their distance in Å.
Positions (direct):
1 Cs 0.0000 0.0000 0.0000  6 Rb 3.91
2 Tc 0.5000 0.5000 0.5000  12 Rb 5.53
3 Rb 0.0000 0.5000 0.0000  2 Cs 3.91
4 Rb 0.0000 0.0000 0.5000  2 Cs 3.91
5 Rb 0.5000 0.0000 0.0000  2 Cs 3.91

=====

Here is a crystal of YAs2Cl relaxed with PBEsol from Alexandria via LeMat-Bulk. Energies are from meta-GGA SCAN.

ΔE_f (raw), meV/atom: -685
Energy above the lowest structure with this stoichiometry, eV/atom: 0.000

Cell lengths 3.3516, 5.2048, 5.5113 Å; angles 61.82, 90.00, 90.00 degrees
Last column: nearest neighbours and their distance in Å.
Positions (direct):
1 Y 0.5000 0.5000 0.0000  2 Cl 2.60
2 As 0.0000 0.0000 0.5000  2 As 2.60
3 As 0.0000 0.5000 0.5000  2 As 2.60
4 Cl 0.5000 0.0000 0.0000  2 Y 2.60

=====

Here is a crystal of Tl2CdPd2 relaxed with PBEsol from Alexandria via LeMat-Bulk. Energies are from meta-GGA SCAN.

Formation energy from the elements, kJ/mol of formula units: -71

Cell lengths 3.6184, 7.3190, 7.3190 Å; angles 90.00, 90.00, 90.00 degrees
Last column: nearest neighbours and their distance in Å.
Positions (direct):
1 Tl 0.5000 0.1589 0.6589  6 Pd 2.74-2.85
2 Tl 0.5000 0.6589 0.8411  6 Pd 2.74-2.85
3 Tl 0.5000 0.8411 0.3411  6 Pd 2.74-2.85
4 Tl 0.5000 0.3411 0.1589  6 Pd 2.74-2.85
5 Pd 0.0000 0.3582 0.8582  6 Tl 2.74-2.85, 2 Cd 2.82, 1 Pd 2.94
6 Pd 0.0000 0.8582 0.6418  6 Tl 2.74-2.85, 2 Cd 2.82, 1 Pd 2.94
7 Pd 0.0000 0.6418 0.1418  6 Tl 2.74-2.85, 2 Cd 2.82, 1 Pd 2.94
8 Pd 0.0000 0.1418 0.3582  6 Tl 2.74-2.85, 2 Cd 2.82, 1 Pd 2.94
9 Cd 0.0000 0.0000 0.0000  4 Pd 2.82
10 Cd 0.0000 0.5000 0.5000  4 Pd 2.82

=====

no.,spin magnetization (μB per formula unit)
1,3.57
2,0.00
3,0.00